Compound: Hg2SCl
Source: Alexandria via LeMat-Bulk
Functional: PBE
Structure: optimized geometry

The structure in POSCAR format:
```
Hg2SCl
1.0
2.0834 1.2029 7.9175
-2.0834 1.2029 7.9175
0.0000 -2.4058 7.9175
Hg S Cl
2 1 1
direct
0.1076 0.1076 0.1076
0.8924 0.8924 0.8924
0.5000 0.5000 0.5000
0.0000 0.0000 0.0000
```

Summary:
The calculation puts the electronic total energy at -6.949 eV for the cell shown. The value obtained for the density of states at the Fermi level is 2.095 states/eV/cell. For the spin magnetization, the calculation gives 0.0 μB/cell.